Ac2Nd4Pb3O2: relaxed, PBE.

E_tot   -127.09 eV/cell
Volume   29.8 A^3/atom
Crystal system   tetragonal
E_form (uncorrected)   -1.3833 eV/atom

```
data_Ac2Nd4Pb3O2
_symmetry_space_group_name_H-M 'I 4/m m m'
_symmetry_Int_Tables_number 139
_symmetry_space_group_name_Hall '-I 4 2'
_cell_length_a 4.930
_cell_length_b 4.930
_cell_length_c 26.955
_cell_angle_alpha 90.00
_cell_angle_beta 90.00
_cell_angle_gamma 90.00
loop_
_atom_site_label
_atom_site_type_symbol
_atom_site_fract_x
_atom_site_fract_y
_atom_site_fract_z
Ac1 Ac 0.000 0.000 0.193
Nd1 Nd 0.000 0.500 0.080
Pb1 Pb 0.000 0.000 0.327
Pb2 Pb 0.000 0.000 0.500
O1 O 0.000 0.000 0.097
```

---

AcNdPb2O8: relaxed, PBE.

E_tot   -152.65 eV/cell
Volume   15.7 A^3/atom
Crystal system   tetragonal
E_form (uncorrected)   -1.6972 eV/atom

```
data_AcNdPb2O8
_symmetry_space_group_name_H-M 'I -4'
_symmetry_Int_Tables_number 82
_cell_length_a 5.678
_cell_length_b 5.678
_cell_length_c 11.698
_cell_angle_alpha 90.00
_cell_angle_beta 90.00
_cell_angle_gamma 90.00
loop_
_symmetry_equiv_pos_as_xyz
'x,y,z'
'y,-x,-z'
'-x,-y,z'
'-y,x,-z'
'x+1/2,y+1/2,z+1/2'
'y+1/2,-x+1/2,-z+1/2'
'-x+1/2,-y+1/2,z+1/2'
'-y+1/2,x+1/2,-z+1/2'
loop_
_atom_site_label
_atom_site_type_symbol
_atom_site_fract_x
_atom_site_fract_y
_atom_site_fract_z
Ac1 Ac 0.000 0.000 0.000
Nd1 Nd 0.000 0.500 0.750
Pb1 Pb 0.000 0.000 0.500
Pb2 Pb 0.000 0.500 0.250
O1 O 0.186 0.254 0.598
O2 O 0.202 0.750 0.157
```

---

AcNd2PdO5: relaxed, PBE.

E_tot   -134.04 eV/cell
Volume   15.2 A^3/atom
Crystal system   tetragonal
E_form (uncorrected)   -2.5993 eV/atom

```
data_AcNd2PdO5
_symmetry_space_group_name_H-M 'P 4/m b m'
_symmetry_Int_Tables_number 127
_symmetry_space_group_name_Hall '-P 4 2ab'
_cell_length_a 6.700
_cell_length_b 6.700
_cell_length_c 6.076
_cell_angle_alpha 90.00
_cell_angle_beta 90.00
_cell_angle_gamma 90.00
loop_
_atom_site_label
_atom_site_type_symbol
_atom_site_fract_x
_atom_site_fract_y
_atom_site_fract_z
Ac1 Ac 0.000 0.000 0.000
Nd1 Nd 0.166 0.334 0.500
Pd1 Pd 0.000 0.500 0.000
O1 O 0.000 0.000 0.500
O2 O 0.160 0.660 0.247
```

---

Ac2NdPdO5: relaxed, PBE.

E_tot   -128.90 eV/cell
Volume   16.2 A^3/atom
Crystal system   tetragonal
E_form (uncorrected)   -2.3870 eV/atom

```
data_Ac2NdPdO5
_symmetry_space_group_name_H-M 'P 4/m b m'
_symmetry_Int_Tables_number 127
_symmetry_space_group_name_Hall '-P 4 2ab'
_cell_length_a 6.956
_cell_length_b 6.956
_cell_length_c 6.035
_cell_angle_alpha 90.00
_cell_angle_beta 90.00
_cell_angle_gamma 90.00
loop_
_atom_site_label
_atom_site_type_symbol
_atom_site_fract_x
_atom_site_fract_y
_atom_site_fract_z
Ac1 Ac 0.163 0.337 0.000
Nd1 Nd 0.000 0.000 0.500
Pd1 Pd 0.000 0.500 0.500
O1 O 0.000 0.000 0.000
O2 O 0.167 0.667 0.270
```

---

AcNdPtO6: relaxed, PBE.

E_tot   -62.12 eV/cell
Volume   16.4 A^3/atom
Crystal system   trigonal
E_form (uncorrected)   -1.9391 eV/atom

```
data_AcNdPtO6
_symmetry_space_group_name_H-M 'P 3 1 2'
_symmetry_Int_Tables_number 149
_cell_length_a 5.7067
_cell_length_b 5.7067
_cell_length_c 5.2425
_cell_angle_alpha 90.00
_cell_angle_beta 90.00
_cell_angle_gamma 120.00
loop_
_symmetry_equiv_pos_as_xyz
'x,y,z'
'-y,x-y,z'
'-x+y,-x,z'
'-y,-x,-z'
'-x+y,y,-z'
'x,x-y,-z'
loop_
_atom_site_label
_atom_site_type_symbol
_atom_site_fract_x
_atom_site_fract_y
_atom_site_fract_z
Ac1 Ac 0.0000 0.0000 0.0000
Nd1 Nd 0.3333 0.6667 0.5000
Pt1 Pt 0.6667 0.3333 0.5000
O1 O 0.3797 0.0476 0.7177
```

---

Ac2NdPtO5: relaxed, PBE.

E_tot   -129.71 eV/cell
Volume   16.4 A^3/atom
Crystal system   tetragonal
E_form (uncorrected)   -2.3374 eV/atom

```
data_Ac2NdPtO5
_symmetry_space_group_name_H-M 'P 4/m b m'
_symmetry_Int_Tables_number 127
_symmetry_space_group_name_Hall '-P 4 2ab'
_cell_length_a 7.130
_cell_length_b 7.130
_cell_length_c 5.823
_cell_angle_alpha 90.00
_cell_angle_beta 90.00
_cell_angle_gamma 90.00
loop_
_atom_site_label
_atom_site_type_symbol
_atom_site_fract_x
_atom_site_fract_y
_atom_site_fract_z
Ac1 Ac 0.170 0.330 0.000
Nd1 Nd 0.000 0.000 0.500
Pt1 Pt 0.000 0.500 0.500
O1 O 0.000 0.000 0.000
O2 O 0.147 0.647 0.260
```

---

Ac2NdPtO8: relaxed, PBE.

E_tot   -81.17 eV/cell
Volume   14.9 A^3/atom
Crystal system   trigonal
E_form (uncorrected)   -1.8733 eV/atom

```
data_Ac2NdPtO8
_symmetry_space_group_name_H-M 'P -3 m 1'
_symmetry_Int_Tables_number 164
_symmetry_space_group_name_Hall '-P 3 2"'
_cell_length_a 5.6171
_cell_length_b 5.6171
_cell_length_c 6.5219
_cell_angle_alpha 90.00
_cell_angle_beta 90.00
_cell_angle_gamma 120.00
loop_
_atom_site_label
_atom_site_type_symbol
_atom_site_fract_x
_atom_site_fract_y
_atom_site_fract_z
Ac1 Ac 0.3333 0.6667 0.3596
Nd1 Nd 0.0000 0.0000 0.0000
Pt1 Pt 0.0000 0.0000 0.5000
O1 O 0.1619 0.3237 0.6864
O2 O 0.3333 0.6667 0.0267
```

---

Ac2NdPuO8: relaxed, PBE.

E_tot   -102.88 eV/cell
Volume   15.7 A^3/atom
Crystal system   monoclinic
E_form (uncorrected)   -2.9916 eV/atom

```
data_Ac2NdPuO8
_symmetry_space_group_name_H-M 'P 1 2/m 1'
_symmetry_Int_Tables_number 10
_cell_length_a 4.230
_cell_length_b 7.751
_cell_length_c 5.782
_cell_angle_alpha 90.00
_cell_angle_beta 96.37
_cell_angle_gamma 90.00
loop_
_symmetry_equiv_pos_as_xyz
'x,y,z'
'-x,-y,-z'
'-x,y,-z'
'x,-y,z'
loop_
_atom_site_label
_atom_site_type_symbol
_atom_site_fract_x
_atom_site_fract_y
_atom_site_fract_z
Ac1 Ac 0.000 0.249 0.000
Nd1 Nd 0.500 0.000 0.500
Pu1 Pu 0.500 0.500 0.500
O1 O 0.017 0.000 0.252
O2 O 0.095 0.500 0.302
O3 O 0.446 0.287 0.723
```

---

Asked for magnetic moment across the records above, the calculation gives 0.000, 0.172, 0.111, 0.111, 0.187, 0.048, 0.256, 0.083 μB/atom in order.